1.
Below is crystalline ZrTa2TlAg at its relaxed geometry, with properties calculated at the GGA-PBE level.

abc: 5.146 4.923 5.146
angles: 90.00 90.00 90.00
Atoms (fractional coordinates):
Zr 0.500 0.500 0.500
Ag 0.000 0.500 0.000
Tl 0.000 0.000 0.000
Ta 0.000 0.000 0.500
Ta 0.500 0.000 0.000

Properties
formation enthalpy at 0 K = 1.808 eV/atom
symmetry = P4/mmm (123)


2.
Below is crystalline Mg3TlCo at its relaxed geometry, with properties calculated at the GGA-PBE level.

abc: 4.880 4.880 4.880
angles: 90.00 90.00 90.00
Atoms (fractional coordinates):
Co 0.000 0.000 0.000
Mg 0.000 0.000 0.500
Mg 0.000 0.500 0.000
Mg 0.500 0.000 0.000
Tl 0.500 0.500 0.500

Properties
formation enthalpy at 0 K = 0.233 eV/atom
symmetry = Pm-3m (221)


3.
Below is crystalline Zr3Si at its relaxed geometry, with properties calculated at the GGA-PBE level.

abc: 11.032 11.032 5.439
angles: 90.00 90.00 90.00
Atoms (fractional coordinates):
Zr 0.320 0.216 0.491
Zr 0.680 0.784 0.491
Zr 0.893 0.418 0.032
Zr 0.284 0.820 0.991
Zr 0.418 0.107 0.968
Zr 0.216 0.680 0.509
Zr 0.820 0.716 0.009
Zr 0.027 0.862 0.277
Zr 0.107 0.582 0.032
Zr 0.973 0.138 0.277
Zr 0.180 0.284 0.009
Zr 0.138 0.027 0.723
Zr 0.716 0.180 0.991
Zr 0.607 0.082 0.468
Zr 0.784 0.320 0.509
Zr 0.362 0.473 0.777
Zr 0.473 0.638 0.223
Zr 0.582 0.893 0.968
Zr 0.393 0.918 0.468
Zr 0.527 0.362 0.223
Zr 0.638 0.527 0.777
Zr 0.918 0.607 0.532
Zr 0.082 0.393 0.532
Zr 0.862 0.973 0.723
Si 0.705 0.542 0.287
Si 0.542 0.295 0.713
Si 0.295 0.458 0.287
Si 0.795 0.958 0.213
Si 0.958 0.205 0.787
Si 0.205 0.042 0.213
Si 0.042 0.795 0.787
Si 0.458 0.705 0.713

Properties
symmetry = P4_2/n (86)
uncorrected formation energy = -0.568 eV/atom


4.
Below is crystalline GaPO at its relaxed geometry, with properties calculated at the GGA-PBE level.

abc: 4.256 4.720 5.198
angles: 85.44 82.26 74.80
Atoms (fractional coordinates):
O 0.013 0.602 0.344
O 0.310 0.113 0.016
P 0.587 0.301 0.899
P 0.872 0.874 0.546
Ga 0.888 0.279 0.250
Ga 0.347 0.795 0.775

Properties
symmetry = P1 (1)
uncorrected formation energy = -0.847 eV/atom


5.
Below is crystalline Cd5InHg6 at its relaxed geometry, with properties calculated at the GGA-PBE level.

abc: 8.418 10.631 6.399
angles: 62.78 131.13 134.01
Atoms (fractional coordinates):
Cd 0.661 0.998 0.328
Cd 0.661 0.498 0.329
Cd 0.339 0.502 0.671
Cd 0.339 0.002 0.672
Cd 0.000 0.500 0.000
Hg 0.165 0.745 0.338
Hg 0.166 0.252 0.338
Hg 0.496 0.748 0.000
Hg 0.834 0.748 0.662
Hg 0.835 0.255 0.662
Hg 0.504 0.252 0.000
In 0.000 0.000 0.000

Properties
formation enthalpy at 0 K = 0.026 eV/atom
symmetry = P-1 (2)


6.
Below is crystalline YPu6S8 at its relaxed geometry, with properties calculated at the GGA-PBE level.

abc: 7.930 7.930 7.930
angles: 60.00 60.00 60.00
Site moments in Bohr magnetons follow the coordinates.
Atoms (fractional coordinates):
S 0.754 0.246 0.246  -0.10
S 0.750 0.750 0.750  -0.14
S 0.754 0.754 0.246  -0.10
S 0.246 0.754 0.754  -0.10
S 0.754 0.246 0.754  -0.10
S 0.250 0.250 0.250  -0.14
S 0.246 0.754 0.246  -0.10
S 0.246 0.246 0.754  -0.10
Pu 0.500 0.500 0.000  5.36
Pu 0.000 0.500 0.500  5.36
Pu 0.000 0.500 0.000  5.36
Pu 0.000 0.000 0.500  5.36
Pu 0.500 0.000 0.500  5.36
Pu 0.500 0.000 0.000  5.36
Y 0.000 0.000 0.000  0.14

Properties
symmetry = Fm-3m (225)
uncorrected formation energy = -1.799 eV/atom


7.
Below is crystalline Sc2ReRu at its relaxed geometry, with properties calculated at the GGA-PBE level.

abc: 5.555 5.555 4.492
angles: 66.15 66.15 33.12
Atoms (fractional coordinates):
Sc 0.987 0.987 0.013
Sc 0.761 0.761 0.739
Ru 0.236 0.236 0.264
Re 0.515 0.515 0.485

Properties
formation enthalpy at 0 K = -0.265 eV/atom
symmetry = Imm2 (44)


8.
Below is crystalline BaDyMnTe4 at its relaxed geometry, with properties calculated at the GGA-PBE level.

abc: 7.743 6.517 9.653
angles: 90.00 107.51 90.00
Site moments in Bohr magnetons follow the coordinates.
Atoms (fractional coordinates):
Ba 0.755 0.750 0.942  0.02
Ba 0.245 0.250 0.058  0.02
Mn 0.261 0.750 0.323  3.95
Mn 0.739 0.250 0.677  3.95
Dy 0.269 0.250 0.562  0.09
Dy 0.731 0.750 0.438  0.09
Te 0.438 0.750 0.601  0.05
Te 0.020 0.992 0.716  0.02
Te 0.437 0.750 0.129  0.04
Te 0.562 0.250 0.399  0.05
Te 0.563 0.250 0.871  0.04
Te 0.980 0.008 0.284  0.02
Te 0.020 0.508 0.716  0.02
Te 0.980 0.492 0.284  0.02

Properties
symmetry = P2_1/m (11)
uncorrected formation energy = -1.016 eV/atom


9.
Below is crystalline PaTePd2 at its relaxed geometry, with properties calculated at the GGA-PBE level.

abc: 4.586 4.265 4.265
angles: 90.00 90.00 90.00
Atoms (fractional coordinates):
Pd 0.000 0.500 0.000
Pd 0.000 0.000 0.500
Pa 0.500 0.500 0.500
Te 0.500 0.000 0.000

Properties
symmetry = P4/mmm (123)
uncorrected formation energy = -0.424 eV/atom


10.
Below is crystalline Ru2PbCl at its relaxed geometry, with properties calculated at the GGA-PBE level.

abc: 4.627 4.627 3.240
angles: 90.00 90.00 90.01
Site moments in Bohr magnetons follow the coordinates.
Atoms (fractional coordinates):
Ru 0.000 0.000 0.000  0.32
Ru 0.500 0.500 0.000  0.32
Pb 0.000 0.500 0.500  -0.01
Cl 0.500 0.000 0.500  0.05

Properties
symmetry = P4/mmm (123)
uncorrected formation energy = 0.894 eV/atom


11.
Below is crystalline LaHgGe3 at its relaxed geometry, with properties calculated at the GGA-PBE level.

abc: 5.747 5.747 5.747
angles: 90.00 90.00 90.00
Atoms (fractional coordinates):
Ge 0.000 0.000 0.500
Ge 0.000 0.500 0.000
Ge 0.500 0.000 0.000
La 0.000 0.000 0.000
Hg 0.500 0.500 0.500

Properties
formation enthalpy at 0 K = 0.833 eV/atom
symmetry = Pm-3m (221)


12.
Below is crystalline Pm3YHo6Tm2 at its relaxed geometry, with properties calculated at the GGA-PBE level.

abc: 6.158 6.158 11.762
angles: 95.00 95.00 119.95
Atoms (fractional coordinates):
Pm 0.500 0.500 0.500
Pm 0.167 0.833 0.500
Pm 0.833 0.167 0.500
Ho 0.918 0.583 0.754
Ho 0.082 0.417 0.246
Ho 0.583 0.918 0.754
Ho 0.252 0.252 0.754
Ho 0.748 0.748 0.246
Ho 0.417 0.082 0.246
Tm 0.667 0.333 0.000
Tm 0.333 0.667 0.000
Y 0.000 0.000 0.000

Properties
formation enthalpy at 0 K = 0.021 eV/atom
symmetry = C2/m (12)


13.
Below is crystalline LiTaRe2 at its relaxed geometry, with properties calculated at the GGA-PBE level.

abc: 5.217 5.217 2.673
angles: 80.19 80.19 117.73
Atoms (fractional coordinates):
Ta 0.500 0.000 0.500
Re 0.000 0.000 0.000
Re 0.500 0.500 0.000
Li 0.000 0.500 0.500

Properties
formation enthalpy at 0 K = 0.142 eV/atom
symmetry = C2/m (12)


14.
Below is crystalline Dy12CoPd6 at its relaxed geometry, with properties calculated at the GGA-PBE level.

abc: 8.145 8.145 8.145
angles: 98.64 98.64 98.64
Atoms (fractional coordinates):
Dy 0.315 0.076 0.966
Dy 0.685 0.924 0.034
Dy 0.417 0.576 0.182
Dy 0.583 0.424 0.818
Dy 0.924 0.034 0.685
Dy 0.576 0.182 0.417
Dy 0.182 0.417 0.576
Dy 0.034 0.685 0.924
Dy 0.076 0.966 0.315
Dy 0.966 0.315 0.076
Dy 0.818 0.583 0.424
Dy 0.424 0.818 0.583
Pd 0.376 0.689 0.870
Pd 0.624 0.311 0.130
Pd 0.870 0.376 0.689
Pd 0.689 0.870 0.376
Pd 0.130 0.624 0.311
Pd 0.311 0.130 0.624
Co 0.000 0.000 0.000

Properties
formation enthalpy at 0 K = -0.502 eV/atom
symmetry = R-3 (148)


15.
Below is crystalline La2Pr4DyMg at its relaxed geometry, with properties calculated at the GGA-PBE level.

abc: 5.106 5.118 11.622
angles: 63.89 90.00 90.00
Atoms (fractional coordinates):
La 0.000 0.000 0.000
La 0.500 0.000 0.500
Dy 0.500 0.500 0.000
Pr 0.000 0.249 0.252
Pr 0.000 0.751 0.748
Pr 0.500 0.748 0.252
Pr 0.500 0.252 0.748
Mg 0.000 0.500 0.500

Properties
formation enthalpy at 0 K = 0.007 eV/atom
symmetry = Pmmm (47)


16.
Below is crystalline FeSiHgBiH at its relaxed geometry, with properties calculated at the GGA-PBE level.

abc: 3.072 3.071 8.914
angles: 90.00 90.10 90.00
Site moments in Bohr magnetons follow the coordinates.
Atoms (fractional coordinates):
Fe 0.393 0.000 0.149  0.49
Hg 0.896 0.500 0.372  -0.01
H 0.393 0.000 0.979  -0.01
Bi 0.890 0.500 0.729  0.00
Si 0.892 0.500 0.046  -0.02

Properties
calculated total energy = -4.16 eV/atom
symmetry = Pm (6)


17.
Below is crystalline EuAgPd at its relaxed geometry, with properties calculated at the GGA-PBE level.

abc: 4.781 4.781 4.781
angles: 60.00 60.00 60.00
Site moments in Bohr magnetons follow the coordinates.
Atoms (fractional coordinates):
Pd 0.250 0.250 0.250  -0.03
Ag 0.500 0.500 0.500  0.00
Eu 0.000 0.000 0.000  6.75

Properties
formation enthalpy at 0 K = -0.322 eV/atom
symmetry = F-43m (216)


18.
Below is crystalline ErZnIn at its relaxed geometry, with properties calculated at the GGA-PBE level.

abc: 4.692 4.692 8.535
angles: 74.04 74.04 60.00
Atoms (fractional coordinates):
Er 0.420 0.420 0.741
Er 0.580 0.580 0.259
Zn 0.306 0.306 0.081
Zn 0.694 0.694 0.919
In 0.183 0.183 0.451
In 0.817 0.817 0.549

Properties
formation enthalpy at 0 K = -0.071 eV/atom
symmetry = R-3m (166)


19.
Below is crystalline CrAsAu2 at its relaxed geometry, with properties calculated at the GGA-PBE level.

abc: 8.827 8.827 8.827
angles: 20.23 20.23 20.23
Site moments in Bohr magnetons follow the coordinates.
Atoms (fractional coordinates):
Au 0.503 0.503 0.503  0.03
Au 0.997 0.997 0.997  0.03
As 0.750 0.750 0.750  -0.04
Cr 0.250 0.250 0.250  3.24

Properties
formation enthalpy at 0 K = 0.310 eV/atom
symmetry = R-3m (166)


20.
Below is crystalline SmTmAu at its relaxed geometry, with properties calculated at the GGA-PBE level.

abc: 4.994 4.994 4.994
angles: 60.00 60.00 60.00
Atoms (fractional coordinates):
Sm 0.500 0.500 0.500
Au 0.250 0.250 0.250
Tm 0.000 0.000 0.000

Properties
formation enthalpy at 0 K = -0.431 eV/atom
symmetry = F-43m (216)


21.
Below is crystalline BaZn2SnIr at its relaxed geometry, with properties calculated at the GGA-PBE level.

abc: 5.181 5.156 5.181
angles: 90.00 90.00 90.00
Atoms (fractional coordinates):
Zn 0.500 0.000 0.000
Zn 0.000 0.000 0.500
Ir 0.000 0.500 0.000
Sn 0.000 0.000 0.000
Ba 0.500 0.500 0.500

Properties
formation enthalpy at 0 K = 0.250 eV/atom
symmetry = P4/mmm (123)


22.
Below is crystalline BaSm4Si3SeO12 at its relaxed geometry, with properties calculated at the GGA-PBE level.

abc: 10.035 10.035 6.979
angles: 90.00 90.00 120.00
Atoms (fractional coordinates):
Sm 0.015 0.758 0.244
Sm 0.758 0.743 0.744
Sm 0.257 0.015 0.744
Sm 0.667 0.333 0.498
Sm 0.743 0.985 0.244
Sm 0.242 0.257 0.244
Sm 0.333 0.667 0.998
Sm 0.985 0.242 0.744
O 0.842 0.327 0.281
O 0.116 0.594 0.226
O 0.083 0.345 0.063
O 0.898 0.640 0.937
O 0.327 0.485 0.781
O 0.515 0.842 0.781
O 0.345 0.262 0.563
O 0.102 0.360 0.437
O 0.655 0.738 0.063
O 0.738 0.083 0.563
O 0.742 0.102 0.937
O 0.485 0.158 0.281
O 0.258 0.898 0.437
O 0.262 0.917 0.063
O 0.478 0.884 0.226
O 0.360 0.258 0.937
O 0.640 0.742 0.437
O 0.917 0.655 0.563
O 0.522 0.116 0.726
O 0.594 0.478 0.726
O 0.158 0.673 0.781
O 0.884 0.406 0.726
O 0.673 0.515 0.281
O 0.406 0.522 0.226
Si 0.624 0.027 0.753
Si 0.597 0.624 0.253
Si 0.376 0.973 0.253
Si 0.403 0.376 0.753
Si 0.027 0.403 0.253
Si 0.973 0.597 0.753
Ba 0.667 0.333 0.003
Ba 0.333 0.667 0.503
Se 0.000 0.000 0.990
Se 0.000 0.000 0.490

Properties
symmetry = P6_3 (173)
uncorrected formation energy = -3.076 eV/atom